(1)
An optimized crystal structure of Nd2Zn5AgRh2, computed with GGA-PBE.

Structure (CIF):
```
data_Nd2Zn5AgRh2
_chemical_formula_sum 'Nd4 Zn10 Ag2 Rh4'
_cell_length_a 9.827
_cell_length_b 9.827
_cell_length_c 3.911
_cell_angle_alpha 90.00
_cell_angle_beta 90.00
_cell_angle_gamma 90.00
_space_group_name_H-M_alt 'P 4/m b m'
_space_group_IT_number 127
_space_group_name_Hall '-P 4 2ab'
loop_
_atom_site_label
_atom_site_fract_x
_atom_site_fract_y
_atom_site_fract_z
Nd1 0.181 0.319 0.000
Zn1 0.000 0.500 0.500
Zn2 0.055 0.798 0.500
Ag1 0.000 0.000 0.000
Rh1 0.119 0.619 0.000
```

Values from the calculation:
Theoretical density: 8.2 g/cm³
Crystal system: tetragonal
ΔH_f (0 K): -0.354 eV/atom
M_tot: 0.00 μB per formula unit

***

(2)
An optimized crystal structure of Ac8As3IrSe4, computed with GGA-PBE.

Structure (CIF):
```
data_Ac8As3IrSe4
_chemical_formula_sum 'Ac24 As9 Ir3 Se12'
_cell_length_a 8.9895
_cell_length_b 8.9895
_cell_length_c 22.1563
_cell_angle_alpha 90.00
_cell_angle_beta 90.00
_cell_angle_gamma 120.00
_space_group_name_H-M_alt 'R -3 m'
_space_group_IT_number 166
_space_group_name_Hall '-R 3 2"'
loop_
_atom_site_label
_atom_site_fract_x
_atom_site_fract_y
_atom_site_fract_z
Ac1 0.0000 0.0000 0.2472
Ac2 0.0099 0.5050 0.2448
As1 0.0000 0.5000 0.5000
Ir1 0.0000 0.0000 0.5000
Se1 0.0000 0.0000 0.0000
Se2 0.0000 0.5000 0.0000
```

Values from the calculation:
Theoretical density: 8.2 g/cm³
Crystal system: trigonal
Energy: -5.95 eV per atom
M_tot: 0.00 μB per formula unit

***

(3)
An optimized crystal structure of Ho3Sn5Te12, computed with GGA-PBE.

Structure (CIF):
```
data_Ho3Sn5Te12
_chemical_formula_sum 'Ho24 Sn40 Te96'
_cell_length_a 17.940
_cell_length_b 17.940
_cell_length_c 17.940
_cell_angle_alpha 90.00
_cell_angle_beta 90.00
_cell_angle_gamma 90.00
_space_group_name_H-M_alt 'I a -3 d'
_space_group_IT_number 230
_space_group_name_Hall '-I 4bd 2c 3'
loop_
_atom_site_label
_atom_site_fract_x
_atom_site_fract_y
_atom_site_fract_z
Ho1 0.000 0.250 0.125
Sn1 0.000 0.000 0.000
Sn2 0.000 0.250 0.375
Te1 0.016 0.069 0.655
```

Values from the calculation:
Theoretical density: 6.0 g/cm³
Crystal system: cubic
Energy: -4.09 eV per atom
M_tot: 0.00 μB per formula unit

***

(4)
An optimized crystal structure of DyPt2Pb, computed with GGA-PBE.

Structure (CIF):
```
data_DyPt2Pb
_chemical_formula_sum 'Dy1 Pt2 Pb1'
_cell_length_a 3.563
_cell_length_b 3.563
_cell_length_c 6.746
_cell_angle_alpha 90.00
_cell_angle_beta 90.00
_cell_angle_gamma 90.00
_space_group_name_H-M_alt 'P 4/m m m'
_space_group_IT_number 123
_space_group_name_Hall '-P 4 2'
loop_
_atom_site_label
_atom_site_fract_x
_atom_site_fract_y
_atom_site_fract_z
Dy1 0.000 0.000 0.000
Pt1 0.500 0.500 0.230
Pb1 0.000 0.000 0.500
```

Values from the calculation:
Theoretical density: 14.7 g/cm³
Crystal system: tetragonal
ΔH_f (0 K): -0.735 eV/atom
M_tot: 0.00 μB per formula unit

***

(5)
An optimized crystal structure of SrSnH2Cl8, computed with GGA-PBE.

Structure (CIF):
```
data_SrSnH2Cl8
_chemical_formula_sum 'Sr1 Sn1 H2 Cl8'
_cell_length_a 6.895
_cell_length_b 7.050
_cell_length_c 8.123
_cell_angle_alpha 88.10
_cell_angle_beta 86.63
_cell_angle_gamma 88.34
_space_group_name_H-M_alt 'P -1'
_space_group_IT_number 2
loop_
_space_group_symop_operation_xyz
'x,y,z'
'-x,-y,-z'
loop_
_atom_site_label
_atom_site_fract_x
_atom_site_fract_y
_atom_site_fract_z
Sr1 0.000 0.000 0.000
Sn1 0.000 0.000 0.500
H1 0.247 0.686 0.763
Cl1 0.186 0.169 0.702
Cl2 0.218 0.129 0.269
Cl3 0.219 0.722 0.524
Cl4 0.264 0.663 0.928
```

Values from the calculation:
Theoretical density: 2.1 g/cm³
Crystal system: triclinic
Energy: -3.43 eV per atom
M_tot: 0.00 μB per formula unit

***

(6)
An optimized crystal structure of TbPm3SmDy, computed with GGA-PBE.

Structure (CIF):
```
data_TbPm3SmDy
_chemical_formula_sum 'Tb2 Pm6 Sm2 Dy2'
_cell_length_a 8.072
_cell_length_b 5.119
_cell_length_c 10.213
_cell_angle_alpha 90.00
_cell_angle_beta 108.52
_cell_angle_gamma 90.00
_space_group_name_H-M_alt 'P 1 21/m 1'
_space_group_IT_number 11
loop_
_space_group_symop_operation_xyz
'x,y,z'
'-x,-y,-z'
'-x,y+1/2,-z'
'x,-y+1/2,z'
loop_
_atom_site_label
_atom_site_fract_x
_atom_site_fract_y
_atom_site_fract_z
Tb1 0.001 0.250 0.375
Pm1 0.331 0.250 0.708
Pm2 0.331 0.750 0.458
Pm3 0.331 0.750 0.958
Sm1 0.331 0.250 0.208
Dy1 0.000 0.250 0.875
```

Values from the calculation:
Theoretical density: 7.5 g/cm³
Crystal system: monoclinic
ΔH_f (0 K): 0.017 eV/atom
M_tot: 0.00 μB per formula unit

***

(7)
An optimized crystal structure of TlSiPb2, computed with GGA-PBE.

Structure (CIF):
```
data_TlSiPb2
_chemical_formula_sum 'Tl1 Si1 Pb2'
_cell_length_a 3.352
_cell_length_b 5.498
_cell_length_c 6.106
_cell_angle_alpha 90.00
_cell_angle_beta 97.17
_cell_angle_gamma 90.00
_space_group_name_H-M_alt 'P 1 m 1'
_space_group_IT_number 6
loop_
_space_group_symop_operation_xyz
'x,y,z'
'x,-y,z'
loop_
_atom_site_label
_atom_site_fract_x
_atom_site_fract_y
_atom_site_fract_z
Tl1 0.000 0.000 0.000
Si1 0.462 0.500 0.766
Pb1 0.354 0.000 0.530
Pb2 0.682 0.500 0.278
```

Values from the calculation:
Theoretical density: 9.6 g/cm³
Crystal system: monoclinic
Energy: -3.46 eV per atom
M_tot: 0.00 μB per formula unit

***

(8)
An optimized crystal structure of KSc2Rh, computed with GGA-PBE.

Structure (CIF):
```
data_KSc2Rh
_chemical_formula_sum 'K3 Sc6 Rh3'
_cell_length_a 3.8628
_cell_length_b 3.8628
_cell_length_c 30.6346
_cell_angle_alpha 90.00
_cell_angle_beta 90.00
_cell_angle_gamma 120.00
_space_group_name_H-M_alt 'R -3 m'
_space_group_IT_number 166
_space_group_name_Hall '-R 3 2"'
loop_
_atom_site_label
_atom_site_fract_x
_atom_site_fract_y
_atom_site_fract_z
K1 0.0000 0.0000 0.0000
Sc1 0.0000 0.0000 0.1236
Rh1 0.0000 0.0000 0.5000
```

Values from the calculation:
Theoretical density: 2.9 g/cm³
Crystal system: trigonal
Polymorph energy (0 for the lowest one): 7.7 kJ/mol of atoms
ΔH_f (0 K): -0.161 eV/atom
M_tot: 0.00 μB per formula unit

***

(9)
An optimized crystal structure of Tb4NdTe6, computed with GGA-PBE.

Structure (CIF):
```
data_Tb4NdTe6
_chemical_formula_sum 'Tb16 Nd4 Te24'
_cell_length_a 4.309
_cell_length_b 14.347
_cell_length_c 22.387
_cell_angle_alpha 90.00
_cell_angle_beta 90.00
_cell_angle_gamma 90.00
_space_group_name_H-M_alt 'C m c m'
_space_group_IT_number 63
_space_group_name_Hall '-C 2c 2'
loop_
_atom_site_label
_atom_site_fract_x
_atom_site_fract_y
_atom_site_fract_z
Tb1 0.000 0.088 0.125
Tb2 0.000 0.357 0.035
Nd1 0.000 0.154 0.750
Te1 0.000 0.000 0.000
Te2 0.000 0.182 0.250
Te3 0.000 0.267 0.593
Te4 0.000 0.446 0.164
```

Values from the calculation:
Theoretical density: 7.4 g/cm³
Crystal system: orthorhombic
Energy: -5.22 eV per atom
M_tot: 0.00 μB per formula unit